A plane-wave DFT calculation with PBE was carried out for a relaxed Sr4ZnSn crystal.

## Properties
Formation energy in eV per atom: -0.3075
M_tot in μB per formula unit: 0.00
Space-group type: No. 15
ρ in g cm⁻³: 3.6

```
Sr4ZnSn
1.0
5.247 -7.598 0.000
5.247 7.598 0.000
-3.736 0.000 6.113
Sr Zn Sn
8 2 2
direct
0.052 0.695 0.910
0.243 0.361 0.725
0.305 0.948 0.590
0.361 0.243 0.225
0.639 0.757 0.775
0.695 0.052 0.410
0.757 0.639 0.275
0.948 0.305 0.090
0.006 0.994 0.750
0.994 0.006 0.250
0.363 0.637 0.250
0.637 0.363 0.750
```